Entry 1:
A plane-wave DFT calculation with PBE was carried out for a relaxed structure of Te2PbI8.

Cell and atoms, written as CIF:
```
data_Te2PbI8
_space_group_name_H-M_alt 'P -3'
_space_group_IT_number 147
_cell_length_a 9.7831
_cell_length_b 9.7831
_cell_length_c 6.4209
_cell_angle_alpha 90.00
_cell_angle_beta 90.00
_cell_angle_gamma 120.00
loop_
_space_group_symop_operation_xyz
'x,y,z'
'-x,-y,-z'
'-y,x-y,z'
'y,-x+y,-z'
'-x+y,-x,z'
'x-y,x,-z'
loop_
_atom_site_label
_atom_site_fract_x
_atom_site_fract_y
_atom_site_fract_z
_atom_site_occupancy
Te1 0.3333 0.6667 0.2796 1
Pb1 0.0000 0.0000 0.5000 1
I1 0.1610 0.3240 0.2317 1
I2 0.3333 0.6667 0.7707 1
```

Output
E_form (uncorrected): -84 meV/atom

Entry 2:
A plane-wave DFT calculation with PBE was carried out for a relaxed structure of Bi5Pd3Au.

Cell and atoms, written as CIF:
```
data_Bi5Pd3Au
_space_group_name_H-M_alt 'C 1 2/m 1'
_space_group_IT_number 12
_cell_length_a 12.0716
_cell_length_b 9.1218
_cell_length_c 10.6369
_cell_angle_alpha 90.00
_cell_angle_beta 124.28
_cell_angle_gamma 90.00
loop_
_space_group_symop_operation_xyz
'x,y,z'
'-x,-y,-z'
'-x,y,-z'
'x,-y,z'
'x+1/2,y+1/2,z'
'-x+1/2,-y+1/2,-z'
'-x+1/2,y+1/2,-z'
'x+1/2,-y+1/2,z'
loop_
_atom_site_label
_atom_site_fract_x
_atom_site_fract_y
_atom_site_fract_z
_atom_site_occupancy
Bi1 0.0000 0.1982 0.0000 1
Bi2 0.0905 0.2404 0.4152 1
Bi3 0.1986 0.5000 0.6681 1
Bi4 0.2475 0.0000 0.9644 1
Pd1 0.0000 0.0000 0.5000 1
Pd2 0.0000 0.5000 0.0000 1
Pd3 0.0226 0.5000 0.7485 1
Pd4 0.0306 0.0000 0.2237 1
Au1 0.2275 0.5000 0.2958 1
```

Output
DFT formation energy: -0.048 eV/atom